Entry one
# TmBi3O6

An optimized crystal structure of TmBi3O6 (PBE, Alexandria via LeMat-Bulk).

```
TmBi3O6
1.0
5.093 2.940 3.776
-5.093 2.940 3.776
0.000 -5.881 3.776
Tm Bi O
2 6 12
direct
0.000 0.000 0.000
0.500 0.500 0.500
0.054 0.575 0.749
0.251 0.946 0.425
0.425 0.251 0.946
0.575 0.749 0.054
0.749 0.054 0.575
0.946 0.425 0.251
0.028 0.898 0.693
0.102 0.307 0.972
0.192 0.561 0.434
0.307 0.972 0.102
0.434 0.192 0.561
0.439 0.566 0.808
0.561 0.434 0.192
0.566 0.808 0.439
0.693 0.028 0.898
0.808 0.439 0.566
0.898 0.693 0.028
0.972 0.102 0.307
```

Values from the calculation:
Its magnetic moment is 0.0 μB per formula unit.

=====

Entry two
# TmBi3O6

An optimized crystal structure of TmBi3O6 (PBE, Alexandria via LeMat-Bulk).

```
TmBi3O6
1.0
5.839 0.000 0.000
0.000 6.327 0.000
-5.768 0.000 8.527
Tm Bi O
2 6 12
direct
0.000 0.000 0.000
0.000 0.500 0.500
0.266 0.033 0.754
0.266 0.467 0.254
0.500 0.000 0.500
0.500 0.500 0.000
0.734 0.533 0.746
0.734 0.967 0.246
0.091 0.062 0.241
0.091 0.438 0.741
0.229 0.690 0.074
0.229 0.810 0.574
0.391 0.168 0.063
0.391 0.332 0.563
0.609 0.668 0.437
0.609 0.832 0.937
0.771 0.190 0.426
0.771 0.310 0.926
0.909 0.562 0.259
0.909 0.938 0.759
```

Values from the calculation:
Its magnetic moment is 0.0 μB per formula unit.

=====

Which one sits at the top of the stability order? entry one does.